## Pb4Cl3F4 (PBE)

Data for a geometry-optimized Pb4Cl3F4 structure.

Lattice parameters (Å, degrees): 4.5387 7.1608 8.3118 115.52 105.84 90.00
Sites, in units of the cell vectors:
Pb1 0.2372 0.7372 0.4744
Pb2 0.7628 0.2628 0.5256
Pb3 0.5000 0.7646 0.0000
Pb4 0.5000 0.2354 0.0000
Cl1 0.1186 0.1186 0.2372
Cl2 0.8814 0.8814 0.7628
Cl3 0.0000 0.5000 0.0000
F1 0.3246 0.1187 0.6491
F2 0.6754 0.4696 0.3509
F3 0.6754 0.8813 0.3509
F4 0.3246 0.5304 0.6491

Summary:
N(E_F): 1.152 states/eV per cell
M_tot: 0.00 μB per formula unit
Uncorrected formation energy: -1662 meV/atom


## PbCl2F2 (PBE)

Data for a geometry-optimized PbCl2F2 structure.

Lattice parameters (Å, degrees): 6.5857 6.5857 6.0908 90.00 90.00 90.00
Sites, in units of the cell vectors:
Pb1 0.0000 0.0000 0.0000
Pb2 0.5000 0.5000 0.0000
F1 0.2930 0.7930 0.0000
F2 0.7930 0.7070 0.0000
F3 0.7070 0.2070 0.0000
F4 0.2070 0.2930 0.0000
Cl1 0.1069 0.6069 0.5000
Cl2 0.6069 0.8931 0.5000
Cl3 0.8931 0.3931 0.5000
Cl4 0.3931 0.1069 0.5000

Summary:
N(E_F): 0.000 states/eV per cell
M_tot: 0.00 μB per formula unit
Uncorrected formation energy: -1223 meV/atom
E above lowest polymorph: 0.151 eV per atom